## V2ReRu2 (GGA-PBE)

Data for V2ReRu2 after structural relaxation.

Calculated values
Formation energy from the elements ... 0.058 eV per atom
Mass density ... 11.41 Mg/m³
Excess energy over the best structure of this formula in the dataset ... 43 meV per atom
E_tot ... -9.789 eV/atom
Space group ... P4/mbm

Cell: 7.132 7.132 2.804 Å, 90.00 90.00 90.00°
Fractional positions:
V  0.166  0.334  0.000
V  0.334  0.834  0.000
V  0.666  0.166  0.000
V  0.834  0.666  0.000
Re  0.000  0.000  0.500
Re  0.500  0.500  0.500
Ru  0.135  0.635  0.500
Ru  0.365  0.135  0.500
Ru  0.635  0.865  0.500
Ru  0.865  0.365  0.500